[1]
4
Lattice="5.704 -0.024 0.002 2.941 4.887 -0.002 -3.719 -3.504 2.534" Properties=species:S:1:pos:R:3 comment="InFeAg2, optimized geometry, DFT PBE" crystal_system=orthorhombic formation_enthalpy_0k_ev_per_fu=1.0 final_energy_ev_per_cell=-15.942 pbc="T T T"
Ag 8.491 4.776 0.000
Ag 4.476 2.518 0.000
Fe 3.154 -0.548 1.268
In 1.772 1.907 1.266



[2]
12
Lattice="5.775 -0.001 0.000 -2.887 5.001 0.000 -0.963 -1.667 5.687" Properties=species:S:1:pos:R:3 comment="Ce3Hf2ZrN6, optimized geometry, DFT PBE" raw_formation_energy_ev_per_atom=-1.690 crystal_system=monoclinic final_energy_ev_per_cell=-116.493 pbc="T T T"
Ce -1.931 3.338 2.844
Ce 3.856 -0.004 2.844
Ce 0.962 1.667 2.844
Hf 0.000 3.334 0.000
Hf 2.888 1.666 0.000
Zr 0.000 0.000 0.000
N 2.904 1.637 4.455
N 1.908 3.303 1.228
N -0.979 1.696 1.233
N -0.033 3.334 4.455
N 0.017 0.030 4.460
N 1.958 -0.001 1.233



[3]
8
Lattice="-5.223 10.151 1.793 -9.276 -5.505 4.144 -6.409 2.404 4.957" Properties=species:S:1:pos:R:3 comment="Sr2TiCo, optimized geometry, DFT PBE" e_above_lowest_polymorph_kj_per_mol_atoms=0.0 crystal_system=tetragonal formation_enthalpy_0k_ev_per_fu=1.9 final_energy_ev_per_cell=-32.916 pbc="T T T"
Sr -6.937 8.028 3.191
Sr -12.364 6.809 5.534
Sr -8.626 4.506 5.221
Sr -9.836 10.413 5.492
Co 0.000 0.000 0.000
Co -9.441 7.439 4.860
Ti -7.250 2.323 2.969
Ti -11.468 -0.389 6.035



Record-wise total magnetization values, in Bohr magnetons per cell: 2.59, 0.00, 0.00